Below is crystalline Pm3Si2Ir2 at its relaxed geometry, with properties calculated at the PBE level.

Cell lengths 5.795, 7.918, 13.284 Å; angles 90.00, 90.00, 90.00 degrees
Space group Pbcm (No. 57)
One atom of each set of equivalent atoms:
Pm (0.125, 0.240, 0.250) [4 per cell]
Pm (0.368, 0.614, 0.604) [8 per cell]
Si (0.089, 0.250, 0.000) [4 per cell]
Si (0.349, 0.592, 0.250) [4 per cell]
Ir (0.141, 0.523, 0.089) [8 per cell]

Output
The value obtained for the raw formation energy is -0.877 eV per atom. The density of states at the Fermi level comes out at 19.30 states/eV/cell. The density is 9.54 Mg/m³.